Record 1
{
  "formula": "BaLiNiBi",
  "functional": "GGA-PBE",
  "state": "relaxed",
  "cell": [[7.1868, 0.0000, 0.0000], [0.0000, 7.1868, 0.0000], [0.0000, 0.0000, 7.1868]],
  "species": ["Ba", "Ba", "Ba", "Ba", "Li", "Li", "Li", "Li", "Ni", "Ni", "Ni", "Ni", "Bi", "Bi", "Bi", "Bi"],
  "frac_coords": [[0.0000, 0.0000, 0.0000], [0.0000, 0.5000, 0.5000], [0.5000, 0.0000, 0.5000], [0.5000, 0.5000, 0.0000], [0.2500, 0.2500, 0.7500], [0.2500, 0.7500, 0.2500], [0.7500, 0.2500, 0.2500], [0.7500, 0.7500, 0.7500], [0.2500, 0.2500, 0.2500], [0.2500, 0.7500, 0.7500], [0.7500, 0.2500, 0.7500], [0.7500, 0.7500, 0.2500], [0.0000, 0.0000, 0.5000], [0.0000, 0.5000, 0.0000], [0.5000, 0.0000, 0.0000], [0.5000, 0.5000, 0.5000]],
  "crystal_system": "cubic",
  "volume_a3_per_fu": 92.8,
  "magnetic_moment_mub_per_fu": 0.00,
  "de_polymorph_kj_per_mol_fu": 0.0,
  "e_tot_ev_per_atom": -3.5812
}

***

Record 2
{
  "formula": "TlFeHgPt",
  "functional": "GGA-PBE",
  "state": "relaxed",
  "cell": [[6.6575, 0.0000, 0.0000], [0.0000, 6.6575, 0.0000], [0.0000, 0.0000, 6.6575]],
  "species": ["Tl", "Tl", "Tl", "Tl", "Fe", "Fe", "Fe", "Fe", "Hg", "Hg", "Hg", "Hg", "Pt", "Pt", "Pt", "Pt"],
  "frac_coords": [[0.0000, 0.0000, 0.0000], [0.0000, 0.5000, 0.5000], [0.5000, 0.0000, 0.5000], [0.5000, 0.5000, 0.0000], [0.2500, 0.2500, 0.2500], [0.2500, 0.7500, 0.7500], [0.7500, 0.2500, 0.7500], [0.7500, 0.7500, 0.2500], [0.0000, 0.0000, 0.5000], [0.0000, 0.5000, 0.0000], [0.5000, 0.0000, 0.0000], [0.5000, 0.5000, 0.5000], [0.2500, 0.2500, 0.7500], [0.2500, 0.7500, 0.2500], [0.7500, 0.2500, 0.2500], [0.7500, 0.7500, 0.7500]],
  "crystal_system": "cubic",
  "volume_a3_per_fu": 73.8,
  "magnetic_moment_mub_per_fu": 2.86,
  "de_polymorph_kj_per_mol_fu": 0.0,
  "e_tot_ev_per_atom": -3.9051
}

***

Record 3
{
  "formula": "RbAu3N5",
  "functional": "GGA-PBE",
  "state": "relaxed",
  "cell": [[5.4706, 0.0000, 0.0000], [-2.7353, 4.7377, 0.0000], [0.0000, 0.0000, 6.0707]],
  "species": ["Rb", "Au", "Au", "Au", "N", "N", "N", "N", "N"],
  "frac_coords": [[0.0000, 0.0000, 0.0000], [0.0000, 0.5000, 0.5000], [0.5000, 0.0000, 0.5000], [0.5000, 0.5000, 0.5000], [0.0000, 0.0000, 0.5000], [0.3333, 0.6667, 0.2737], [0.3333, 0.6667, 0.7263], [0.6667, 0.3333, 0.2737], [0.6667, 0.3333, 0.7263]],
  "crystal_system": "hexagonal",
  "volume_a3_per_fu": 157.3,
  "e_tot_ev_per_atom": -3.9999
}

***

Record 4
{
  "formula": "Lu4Zn5Ge6",
  "functional": "GGA-PBE",
  "state": "relaxed",
  "cell": [[2.0969, -9.1839, 0.0000], [2.0969, 9.1839, 0.0000], [0.0000, 0.0000, 15.0983]],
  "species": ["Lu", "Lu", "Lu", "Lu", "Lu", "Lu", "Lu", "Lu", "Zn", "Zn", "Zn", "Zn", "Zn", "Zn", "Zn", "Zn", "Zn", "Zn", "Ge", "Ge", "Ge", "Ge", "Ge", "Ge", "Ge", "Ge", "Ge", "Ge", "Ge", "Ge"],
  "frac_coords": [[0.0169, 0.9831, 0.5000], [0.0323, 0.9677, 0.7643], [0.1664, 0.8336, 0.3038], [0.1744, 0.8256, 0.9441], [0.8256, 0.1744, 0.4441], [0.8336, 0.1664, 0.8038], [0.9677, 0.0323, 0.2643], [0.9831, 0.0169, 0.0000], [0.1516, 0.8484, 0.6271], [0.3008, 0.6992, 0.6242], [0.3447, 0.6553, 0.2729], [0.3492, 0.6508, 0.9815], [0.4351, 0.5649, 0.6858], [0.5649, 0.4351, 0.1858], [0.6508, 0.3492, 0.4815], [0.6553, 0.3447, 0.7729], [0.6992, 0.3008, 0.1242], [0.8484, 0.1516, 0.1271], [0.1126, 0.8874, 0.1167], [0.2248, 0.7752, 0.4841], [0.2299, 0.7701, 0.7673], [0.4304, 0.5696, 0.4087], [0.4339, 0.5661, 0.1289], [0.4397, 0.5603, 0.8547], [0.5603, 0.4397, 0.3547], [0.5661, 0.4339, 0.6289], [0.5696, 0.4304, 0.9087], [0.7701, 0.2299, 0.2673], [0.7752, 0.2248, 0.9841], [0.8874, 0.1126, 0.6167]],
  "crystal_system": "orthorhombic",
  "volume_a3_per_fu": 290.8,
  "magnetic_moment_mub_per_fu": 0.00,
  "e_tot_ev_per_atom": -3.9712
}

***

Record 5
{
  "formula": "BaCu4S3",
  "functional": "GGA-PBE",
  "state": "relaxed",
  "cell": [[10.4538, 0.0000, 0.0000], [0.0000, 4.0286, 0.0000], [0.0000, 0.0000, 13.9686]],
  "species": ["Ba", "Ba", "Ba", "Ba", "Cu", "Cu", "Cu", "Cu", "Cu", "Cu", "Cu", "Cu", "Cu", "Cu", "Cu", "Cu", "Cu", "Cu", "Cu", "Cu", "S", "S", "S", "S", "S", "S", "S", "S", "S", "S", "S", "S"],
  "frac_coords": [[0.2399, 0.2500, 0.0030], [0.2601, 0.7500, 0.5030], [0.7399, 0.2500, 0.4970], [0.7601, 0.7500, 0.9970], [0.0334, 0.2500, 0.3656], [0.0368, 0.7500, 0.8477], [0.0651, 0.7500, 0.2561], [0.1858, 0.2500, 0.7472], [0.3142, 0.7500, 0.2472], [0.4349, 0.2500, 0.7561], [0.4632, 0.2500, 0.3477], [0.4666, 0.7500, 0.8656], [0.5334, 0.2500, 0.1344], [0.5368, 0.7500, 0.6523], [0.5651, 0.7500, 0.2439], [0.6858, 0.2500, 0.7528], [0.8142, 0.7500, 0.2528], [0.9349, 0.2500, 0.7439], [0.9632, 0.2500, 0.1523], [0.9666, 0.7500, 0.6344], [0.0463, 0.7500, 0.0984], [0.0633, 0.2500, 0.6075], [0.2436, 0.2500, 0.3142], [0.2564, 0.7500, 0.8142], [0.4367, 0.7500, 0.1075], [0.4537, 0.2500, 0.5984], [0.5463, 0.7500, 0.4016], [0.5633, 0.2500, 0.8925], [0.7436, 0.2500, 0.1858], [0.7564, 0.7500, 0.6858], [0.9367, 0.7500, 0.3925], [0.9537, 0.2500, 0.9016]],
  "crystal_system": "orthorhombic",
  "volume_a3_per_fu": 147.1,
  "e_tot_ev_per_atom": -4.2928
}

***

Record 6
{
  "formula": "Tl2Cd",
  "functional": "GGA-PBE",
  "state": "relaxed",
  "cell": [[0.0000, 4.5592, 4.5592], [4.5592, 0.0000, 4.5592], [4.5592, 4.5592, 0.0000]],
  "species": ["Tl", "Tl", "Tl", "Tl", "Cd", "Cd"],
  "frac_coords": [[0.0000, 0.0000, 0.0000], [0.0000, 0.0000, 0.5000], [0.0000, 0.5000, 0.0000], [0.5000, 0.0000, 0.0000], [0.3750, 0.3750, 0.3750], [0.6250, 0.6250, 0.6250]],
  "crystal_system": "cubic",
  "volume_a3_per_fu": 94.8,
  "de_polymorph_kj_per_mol_fu": 44.1,
  "e_tot_ev_per_atom": -1.6890
}